DFT (PBE) results for a geometry-optimized BaMgI3 structure.

The density of states at the Fermi level comes out at 0.00 states/eV/atom. For the energy above the most stable polymorph in this dataset, the calculation gives 221 meV per atom. The value obtained for the theoretical density is 2.97 g/cm3. Its total magnetization is 0.200 μB/atom. The crystal system is cubic.

The structure belongs to space group Pm-3m (No. 221); the cell edges are 6.716, 6.716 and 6.716 Å and the angles 90.00°, 90.00° and 90.00°. The distinct sites, in fractional coordinates, are Ba at (0.000, 0.000, 0.000), Mg at (0.500, 0.500, 0.500) and I at (0.000, 0.000, 0.500).